Record 1
VASP calculation (PBE-GGA) on a geometry-optimized ThBe3Si3 structure.

Properties
The calculation puts the total energy at -4.890 eV/atom. Its uncorrected formation energy is 0.09 eV/atom. As for the crystal system: cubic.

abc: 6.083 6.083 6.083
angles: 90.00 90.00 90.00
Fractional positions:
Th (0.500, 0.500, 0.500)
Th (0.000, 0.000, 0.000)
Be (0.000, 0.500, 0.750)
Be (0.000, 0.500, 0.250)
Be (0.250, 0.000, 0.500)
Be (0.500, 0.250, 0.000)
Be (0.750, 0.000, 0.500)
Be (0.500, 0.750, 0.000)
Si (0.750, 0.500, 0.000)
Si (0.500, 0.000, 0.250)
Si (0.000, 0.750, 0.500)
Si (0.250, 0.500, 0.000)
Si (0.500, 0.000, 0.750)
Si (0.000, 0.250, 0.500)

***

Record 2
VASP calculation (PBE-GGA) on a geometry-optimized NaPm8Tl6 structure.

Properties
The calculation puts the total energy at -3.705 eV/atom. As for the crystal system: trigonal.

abc: 9.344 9.344 8.485
angles: 56.59 56.59 60.00
Fractional positions:
Pm (0.570, 0.212, 0.328)
Pm (0.335, 0.335, 0.996)
Pm (0.788, 0.110, 0.672)
Pm (0.890, 0.570, 0.328)
Pm (0.212, 0.890, 0.328)
Pm (0.665, 0.665, 0.004)
Pm (0.430, 0.788, 0.672)
Pm (0.110, 0.430, 0.672)
Tl (0.605, 0.942, 0.177)
Tl (0.942, 0.276, 0.177)
Tl (0.395, 0.058, 0.823)
Tl (0.724, 0.395, 0.823)
Tl (0.058, 0.724, 0.823)
Tl (0.276, 0.605, 0.177)
Na (0.000, 0.000, 0.000)

***

Record 3
VASP calculation (PBE-GGA) on a geometry-optimized KBPt3 structure.

Properties
The calculation puts the total energy at -4.723 eV/atom. As for the crystal system: orthorhombic.

abc: 12.358 12.358 4.893
angles: 90.00 90.00 149.38
Last column: magnetic moment on the atom in μB.
Fractional positions:
B (0.257, 0.743, 0.250)  0.00
B (0.743, 0.257, 0.750)  0.00
K (0.873, 0.127, 0.750)  0.00
K (0.127, 0.873, 0.250)  0.00
Pt (0.951, 0.448, 0.250)  0.00
Pt (0.049, 0.552, 0.750)  0.00
Pt (0.448, 0.951, 0.750)  0.00
Pt (0.000, 0.000, 0.000)  0.44
Pt (0.000, 0.000, 0.500)  0.44
Pt (0.552, 0.049, 0.250)  0.00

***

Record 4
VASP calculation (PBE-GGA) on a geometry-optimized AlGe2Ru3 structure.

Properties
The calculation puts the total energy at -7.230 eV/atom. As for the crystal system: tetragonal.

abc: 3.028 3.028 9.043
angles: 90.00 90.00 90.00
Fractional positions:
Ge (0.500, 0.500, 0.828)
Ge (0.500, 0.500, 0.172)
Ru (0.000, 0.000, 0.330)
Ru (0.000, 0.000, 0.000)
Ru (0.000, 0.000, 0.670)
Al (0.500, 0.500, 0.500)

***

Record 5
VASP calculation (PBE-GGA) on a geometry-optimized LuThTa4 structure.

Properties
The calculation puts the total energy at -9.776 eV/atom. As for the crystal system: cubic.

abc: 5.716 5.716 5.716
angles: 60.00 60.00 60.00
Fractional positions:
Ta (0.625, 0.625, 0.124)
Ta (0.124, 0.625, 0.625)
Ta (0.625, 0.124, 0.625)
Ta (0.625, 0.625, 0.625)
Th (0.250, 0.250, 0.250)
Lu (0.000, 0.000, 0.000)

***

Record 6
VASP calculation (PBE-GGA) on a geometry-optimized CuSiTe2 structure.

Properties
The calculation puts the total energy at -3.861 eV/atom. Its uncorrected formation energy is 0.09 eV/atom. As for the crystal system: triclinic.

abc: 4.109 4.724 7.070
angles: 72.75 70.39 59.83
Fractional positions:
Si (0.273, 0.657, 0.187)
Te (0.606, 0.068, 0.061)
Te (0.077, 0.576, 0.574)
Cu (0.748, 0.183, 0.657)

***

Record 7
VASP calculation (PBE-GGA) on a geometry-optimized Nd4RhPb structure.

Properties
The calculation puts the total energy at -5.464 eV/atom. The calculation puts the energy relative to the lowest polymorph listed for this composition at 28 meV per atom. As for the crystal system: monoclinic.

abc: 6.209 8.550 8.476
angles: 113.78 103.12 106.02
Fractional positions:
Nd (0.644, 0.069, 0.367)
Nd (0.684, 0.343, 0.139)
Nd (0.223, 0.298, 0.367)
Nd (0.777, 0.702, 0.633)
Nd (0.316, 0.657, 0.861)
Nd (0.356, 0.931, 0.633)
Nd (0.044, 0.204, 0.861)
Nd (0.956, 0.796, 0.139)
Rh (0.250, 0.000, 0.999)
Rh (0.750, 0.000, 0.001)
Pb (0.627, 0.377, 0.755)
Pb (0.373, 0.623, 0.245)

***

Record 8
VASP calculation (PBE-GGA) on a geometry-optimized GdBi2Pb structure.

Properties
The calculation puts the total energy at -6.676 eV/atom. The calculation puts the energy relative to the lowest polymorph listed for this composition at 109 meV per atom. As for the crystal system: cubic.

abc: 5.622 5.622 5.622
angles: 60.00 60.00 60.00
Last column: magnetic moment on the atom in μB.
Fractional positions:
Bi (0.750, 0.750, 0.750)  -0.03
Bi (0.250, 0.250, 0.250)  -0.03
Gd (0.500, 0.500, 0.500)  6.97
Pb (0.000, 0.000, 0.000)  -0.01

***

Record 9
VASP calculation (PBE-GGA) on a geometry-optimized KPuZn2Cl8 structure.

Properties
The calculation puts the total energy at -4.230 eV/atom. Its uncorrected formation energy is -1.50 eV/atom. As for the crystal system: trigonal.

abc: 6.467 6.467 10.608
angles: 72.25 72.25 60.00
Last column: magnetic moment on the atom in μB.
Fractional positions:
Zn (0.249, 0.249, 0.254)  0.00
Zn (0.751, 0.751, 0.746)  0.00
Cl (0.940, 0.610, 0.168)  0.02
Cl (0.718, 0.060, 0.832)  0.02
Cl (0.610, 0.282, 0.168)  0.02
Cl (0.175, 0.175, 0.476)  0.00
Cl (0.390, 0.718, 0.832)  0.02
Cl (0.282, 0.940, 0.168)  0.02
Cl (0.060, 0.390, 0.832)  0.02
Cl (0.825, 0.825, 0.524)  0.00
K (0.500, 0.500, 0.500)  0.00
Pu (0.000, 0.000, 0.000)  -5.03

***

Record 10
VASP calculation (PBE-GGA) on a geometry-optimized Hf3CdPd4 structure.

Properties
The calculation puts the total energy at -7.043 eV/atom. As for the crystal system: tetragonal.

abc: 4.806 6.289 9.604
angles: 90.00 90.00 90.00
Fractional positions:
Hf (0.500, 0.000, 0.250)
Hf (0.000, 0.000, 0.500)
Hf (0.500, 0.500, 0.750)
Hf (0.500, 0.500, 0.250)
Hf (0.000, 0.000, 0.000)
Hf (0.500, 0.000, 0.750)
Cd (0.000, 0.500, 0.500)
Cd (0.000, 0.500, 0.000)
Pd (0.500, 0.762, 0.500)
Pd (0.999, 0.239, 0.250)
Pd (0.500, 0.238, 0.500)
Pd (0.001, 0.761, 0.750)
Pd (0.001, 0.239, 0.750)
Pd (0.999, 0.761, 0.250)
Pd (0.500, 0.238, 0.000)
Pd (0.500, 0.762, 0.000)

***

Record 11
VASP calculation (PBE-GGA) on a geometry-optimized Ho2TaTe structure.

Properties
The calculation puts the total energy at -5.645 eV/atom. Its uncorrected formation energy is 0.39 eV/atom. As for the crystal system: trigonal.

abc: 3.582 3.582 10.281
angles: 79.97 79.97 60.00
Fractional positions:
Ta (0.000, 0.000, 0.000)
Ho (0.905, 0.905, 0.284)
Ho (0.095, 0.095, 0.716)
Te (0.500, 0.500, 0.500)

***

Record 12
VASP calculation (PBE-GGA) on a geometry-optimized Ti2Fe2Tc structure.

Properties
The calculation puts the total energy at -8.599 eV/atom. The calculation puts the energy relative to the lowest polymorph listed for this composition at 49 meV per atom. As for the crystal system: tetragonal.

abc: 6.928 6.928 2.799
angles: 90.00 90.00 90.00
Fractional positions:
Fe (0.652, 0.848, 0.500)
Fe (0.848, 0.348, 0.500)
Fe (0.152, 0.652, 0.500)
Fe (0.348, 0.152, 0.500)
Ti (0.849, 0.651, 0.000)
Ti (0.651, 0.151, 0.000)
Ti (0.349, 0.849, 0.000)
Ti (0.151, 0.349, 0.000)
Tc (0.500, 0.500, 0.000)
Tc (0.000, 0.000, 0.000)

***

Record 13
VASP calculation (PBE-GGA) on a geometry-optimized Li6LaPb6 structure.

Properties
The calculation puts the total energy at -3.295 eV/atom. As for the crystal system: orthorhombic.

abc: 6.007 7.702 7.702
angles: 78.20 67.05 67.05
Fractional positions:
La (0.000, 0.000, 0.000)
Li (0.000, 0.500, 0.000)
Li (0.500, 0.247, 0.753)
Li (0.500, 0.500, 0.000)
Li (0.500, 0.000, 0.500)
Li (0.000, 0.000, 0.500)
Li (0.500, 0.753, 0.247)
Pb (0.669, 0.831, 0.831)
Pb (0.000, 0.344, 0.656)
Pb (0.338, 0.662, 0.662)
Pb (0.662, 0.338, 0.338)
Pb (0.000, 0.656, 0.344)
Pb (0.331, 0.169, 0.169)

***

Record 14
VASP calculation (PBE-GGA) on a geometry-optimized Pm3Sm6Y structure.

Properties
The calculation puts the total energy at -4.760 eV/atom. The calculation puts the energy relative to the lowest polymorph listed for this composition at 0 meV per atom. As for the crystal system: orthorhombic.

abc: 6.504 11.051 11.051
angles: 120.78 90.00 90.00
Fractional positions:
Sm (0.365, 0.521, 0.941)
Sm (0.356, 0.968, 0.032)
Sm (0.156, 0.724, 0.276)
Sm (0.656, 0.276, 0.724)
Sm (0.057, 0.715, 0.628)
Sm (0.365, 0.059, 0.479)
Sm (0.057, 0.372, 0.285)
Sm (0.557, 0.628, 0.715)
Sm (0.865, 0.479, 0.059)
Sm (0.856, 0.032, 0.968)
Sm (0.865, 0.941, 0.521)
Sm (0.557, 0.285, 0.372)
Y (0.613, 0.812, 0.188)
Y (0.113, 0.188, 0.812)
Pm (0.082, 0.386, 0.614)
Pm (0.468, 0.941, 0.709)
Pm (0.968, 0.059, 0.291)
Pm (0.582, 0.614, 0.386)
Pm (0.468, 0.291, 0.059)
Pm (0.968, 0.709, 0.941)

***

Record 15
VASP calculation (PBE-GGA) on a geometry-optimized WBrCl2 structure.

Properties
The calculation puts the total energy at -4.310 eV/atom. Its uncorrected formation energy is 0.27 eV/atom. The calculation puts the energy relative to the lowest polymorph listed for this composition at 617 meV per atom. As for the crystal system: orthorhombic.

abc: 3.402 3.402 10.448
angles: 90.00 90.00 128.45
Last column: magnetic moment on the atom in μB.
Fractional positions:
Cl (0.500, 0.500, 0.312)  0.01
Cl (0.000, 0.000, 0.996)  0.10
W (0.000, 0.000, 0.496)  0.62
Br (0.500, 0.500, 0.695)  0.02

***

Record 16
VASP calculation (PBE-GGA) on a geometry-optimized Li2AlMo structure.

Properties
The calculation puts the total energy at -4.366 eV/atom. As for the crystal system: trigonal.

abc: 9.779 9.779 9.779
angles: 16.03 16.03 16.03
Last column: magnetic moment on the atom in μB.
Fractional positions:
Mo (0.250, 0.250, 0.250)  0.09
Al (0.750, 0.750, 0.750)  -0.01
Li (0.499, 0.499, 0.499)  0.00
Li (0.001, 0.001, 0.001)  0.00

***

Record 17
VASP calculation (PBE-GGA) on a geometry-optimized Ca2Hg2Pd15 structure.

Properties
The calculation puts the total energy at -4.583 eV/atom. As for the crystal system: trigonal.

abc: 7.036 7.036 7.036
angles: 82.39 82.39 82.39
Fractional positions:
Pd (0.000, 0.500, 0.000)
Pd (0.691, 0.309, 0.000)
Pd (0.839, 0.347, 0.347)
Pd (0.000, 0.691, 0.309)
Pd (0.691, 0.000, 0.309)
Pd (0.000, 0.000, 0.500)
Pd (0.653, 0.653, 0.161)
Pd (0.309, 0.000, 0.691)
Pd (0.347, 0.839, 0.347)
Pd (0.347, 0.347, 0.839)
Pd (0.653, 0.161, 0.653)
Pd (0.500, 0.000, 0.000)
Pd (0.309, 0.691, 0.000)
Pd (0.000, 0.309, 0.691)
Pd (0.161, 0.653, 0.653)
Ca (0.650, 0.650, 0.650)
Ca (0.350, 0.350, 0.350)
Hg (0.896, 0.896, 0.896)
Hg (0.104, 0.104, 0.104)

***

Record 18
VASP calculation (PBE-GGA) on a geometry-optimized CeHfNi structure.

Properties
The calculation puts the total energy at -7.392 eV/atom. The calculation puts the energy relative to the lowest polymorph listed for this composition at 0 meV per atom. As for the crystal system: tetragonal.

abc: 3.224 3.224 6.332
angles: 104.75 104.75 90.00
Fractional positions:
Ni (0.688, 0.688, 0.376)
Hf (0.301, 0.301, 0.603)
Ce (0.011, 0.011, 0.021)

***

Record 19
VASP calculation (PBE-GGA) on a geometry-optimized BeOsSe structure.

Properties
The calculation puts the total energy at -5.441 eV/atom. Its uncorrected formation energy is 0.71 eV/atom. The calculation puts the energy relative to the lowest polymorph listed for this composition at 363 meV per atom. As for the crystal system: cubic.

abc: 3.919 3.919 3.919
angles: 60.00 60.00 60.00
Fractional positions:
Be (0.750, 0.750, 0.750)
Se (0.500, 0.500, 0.500)
Os (0.000, 0.000, 0.000)

***

Record 20
VASP calculation (PBE-GGA) on a geometry-optimized BaSbBr2 structure.

Properties
The calculation puts the total energy at -3.390 eV/atom. Its uncorrected formation energy is -1.04 eV/atom. The calculation puts the energy relative to the lowest polymorph listed for this composition at 58 meV per atom. As for the crystal system: orthorhombic.

abc: 4.162 6.509 4.916
angles: 90.00 90.00 90.00
Fractional positions:
Br (0.500, 0.500, 0.000)
Br (0.000, 0.000, 0.000)
Sb (0.500, 0.000, 0.500)
Ba (0.000, 0.500, 0.500)

***

Record 21
VASP calculation (PBE-GGA) on a geometry-optimized MgCo2Cl structure.

Properties
The calculation puts the total energy at -4.162 eV/atom. Its uncorrected formation energy is 0.25 eV/atom. The calculation puts the energy relative to the lowest polymorph listed for this composition at 323 meV per atom. As for the crystal system: orthorhombic.

abc: 6.145 6.145 6.145
angles: 151.04 137.25 52.47
Last column: magnetic moment on the atom in μB.
Fractional positions:
Co (0.854, 0.354, 0.500)  1.91
Co (0.001, 0.001, 0.000)  1.59
Mg (0.473, 0.473, 0.000)  -0.02
Cl (0.172, 0.672, 0.500)  0.06

***

Record 22
VASP calculation (PBE-GGA) on a geometry-optimized Tl2Cd2Cl structure.

Properties
The calculation puts the total energy at -1.891 eV/atom. Its uncorrected formation energy is -0.21 eV/atom. The calculation puts the energy relative to the lowest polymorph listed for this composition at 11 meV per atom. As for the crystal system: tetragonal.

abc: 8.572 8.572 4.138
angles: 90.00 90.00 90.00
Fractional positions:
Cl (0.000, 0.000, 0.000)
Cl (0.500, 0.500, 0.000)
Cd (0.876, 0.376, 0.500)
Cd (0.376, 0.124, 0.500)
Cd (0.624, 0.876, 0.500)
Cd (0.124, 0.624, 0.500)
Tl (0.683, 0.183, 0.000)
Tl (0.317, 0.817, 0.000)
Tl (0.817, 0.683, 0.000)
Tl (0.183, 0.317, 0.000)

***

Record 23
VASP calculation (PBE-GGA) on a geometry-optimized NaMg3Pt structure.

Properties
The calculation puts the total energy at -2.755 eV/atom. The calculation puts the energy relative to the lowest polymorph listed for this composition at 0 meV per atom. As for the crystal system: cubic.

abc: 5.089 5.089 5.089
angles: 90.00 90.00 90.00
Fractional positions:
Pt (0.000, 0.000, 0.000)
Mg (0.000, 0.500, 0.000)
Mg (0.500, 0.000, 0.000)
Mg (0.000, 0.000, 0.500)
Na (0.500, 0.500, 0.500)